Record 1
The following is a PBE-GGA calculation of crystalline La3TlRu at its relaxed geometry, from the Alexandria database.

Results
Magnetization ... 0.0 μB per formula unit
Energy of formation from the pure elements ... -303.5 meV/atom
DFT total energy ... -5.588 eV per atom
ΔE to the lowest computed polymorph ... 86 meV/atom

```
5
Lattice="5.489 0.000 0.000 0.000 5.489 0.000 0.000 0.000 5.489" Properties=species:S:1:pos:R:3 pbc="T T T"
La 0.000 0.000 2.744
La 2.744 0.000 0.000
La 0.000 2.744 0.000
Tl 2.744 2.744 2.744
Ru 0.000 0.000 0.000
```


Record 2
The following is a PBE-GGA calculation of crystalline ErVOs2 at its relaxed geometry, from the Alexandria database.

Results
Magnetization ... 0.0 μB per formula unit
Energy of formation from the pure elements ... -183.8 meV/atom
DFT total energy ... -9.219 eV per atom
ΔE to the lowest computed polymorph ... 0 meV/atom

```
4
Lattice="3.099 0.000 0.000 0.000 3.099 0.000 0.000 0.000 6.858" Properties=species:S:1:pos:R:3 pbc="T T T"
Er 1.549 1.549 3.429
V 1.549 1.549 0.000
Os 0.000 0.000 5.417
Os 0.000 0.000 1.441
```


Record 3
The following is a PBE-GGA calculation of crystalline NiAgAu2 at its relaxed geometry, from the Alexandria database.

Results
Magnetization ... 0.2 μB per formula unit
Energy of formation from the pure elements ... 98.4 meV/atom
DFT total energy ... -3.698 eV per atom
ΔE to the lowest computed polymorph ... 71 meV/atom

```
4
Lattice="2.875 0.000 0.000 1.438 2.490 0.000 1.438 0.830 9.161" Properties=species:S:1:pos:R:3 pbc="T T T"
Au 1.438 0.830 7.050
Au 1.438 0.830 2.110
Ag 2.875 1.660 4.586
Ni 4.313 2.490 9.155
```


Record 4
The following is a PBE-GGA calculation of crystalline Pu2MnRu4 at its relaxed geometry, from the Alexandria database.

Results
Magnetization ... 11.6 μB per formula unit
Energy of formation from the pure elements ... 21.8 meV/atom
DFT total energy ... -10.683 eV per atom

```
14
Lattice="10.798 0.792 1.734 0.014 5.013 -2.318 2.107 -0.665 5.168" Properties=species:S:1:pos:R:3 pbc="T T T"
Ru 3.759 2.407 1.839
Ru 2.470 0.225 0.485
Ru 9.159 2.733 2.745
Ru 5.043 2.016 4.390
Ru 7.875 3.124 0.194
Ru 10.448 4.915 4.099
Ru 9.151 0.294 3.866
Ru 3.767 4.845 0.718
Pu 0.705 3.086 0.103
Pu 6.097 0.976 2.129
Pu 6.821 4.164 2.455
Pu 12.213 2.053 4.481
Mn 0.000 0.000 0.000
Mn 5.406 2.902 -0.292
```


Record 5
The following is a PBE-GGA calculation of crystalline Sm4Ge2SCl at its relaxed geometry, from the Alexandria database.

Results
Magnetization ... 0.0 μB per formula unit
Formation energy (no corrections) ... -1362 meV/atom
DFT total energy ... -5.623 eV per atom

```
8
Lattice="-3.474 -1.723 -1.599 2.740 0.580 -6.578 3.736 -6.014 -1.639" Properties=species:S:1:pos:R:3 pbc="T T T"
Ge 0.131 -3.868 -1.619
Ge 3.736 -6.014 -1.639
Sm -1.846 -3.162 -3.587
Sm 1.713 -5.201 -3.621
Sm 1.289 -1.955 -6.195
Sm 4.848 -3.994 -6.229
Cl -0.367 -0.571 -4.089
S 3.238 -2.717 -4.108
```


Record 6
The following is a PBE-GGA calculation of crystalline Th2CuOs at its relaxed geometry, from the Alexandria database.

Results
Magnetization ... 0.0 μB per formula unit
Energy of formation from the pure elements ... -317.5 meV/atom
DFT total energy ... -7.859 eV per atom

```
8
Lattice="4.366 0.000 0.000 0.000 5.938 0.132 0.000 -2.784 7.191" Properties=species:S:1:pos:R:3 pbc="T T T"
Th 1.091 2.990 4.216
Th 1.091 4.440 0.518
Th 3.274 0.164 3.107
Th 3.274 -1.286 6.805
Os 3.274 1.871 5.746
Os 1.091 1.283 1.577
Cu 1.091 0.039 5.147
Cu 3.274 3.115 2.176
```


Record 7
The following is a PBE-GGA calculation of crystalline CaSn2Sb at its relaxed geometry, from the Alexandria database.

Results
Magnetization ... 0.0 μB per formula unit
Formation energy (no corrections) ... -397 meV/atom
DFT total energy ... -3.930 eV per atom

```
4
Lattice="-0.719 4.969 0.718 -3.775 -0.917 2.564 2.642 -0.171 3.829" Properties=species:S:1:pos:R:3 pbc="T T T"
Sn 1.321 -0.085 1.914
Sn -1.888 -0.458 1.282
Ca -0.360 2.485 0.359
Sb -0.926 1.941 3.555
```


Record 8
The following is a PBE-GGA calculation of crystalline La2PmNd2Sm2 at its relaxed geometry, from the Alexandria database.

Results
Magnetization ... 0.0 μB per formula unit
Energy of formation from the pure elements ... 19.5 meV/atom
DFT total energy ... -4.778 eV per atom

```
7
Lattice="5.213 0.000 0.000 -2.607 5.819 0.295 0.000 -1.568 8.080" Properties=species:S:1:pos:R:3 pbc="T T T"
Pm 0.000 0.000 0.000
La 0.000 0.995 3.535
La 2.607 3.256 4.840
Sm 0.000 1.963 7.117
Sm 2.607 2.288 1.258
Nd 0.000 4.549 2.535
Nd 2.607 -0.298 5.840
```


Record 9
The following is a PBE-GGA calculation of crystalline PmNdDy2 at its relaxed geometry, from the Alexandria database.

Results
Magnetization ... 0.0 μB per formula unit
Energy of formation from the pure elements ... 14.5 meV/atom
DFT total energy ... -4.666 eV per atom
ΔE to the lowest computed polymorph ... 2 meV/atom

```
4
Lattice="-0.780 -3.368 -1.079 1.885 -2.802 1.307 -7.262 -3.099 8.849" Properties=species:S:1:pos:R:3 pbc="T T T"
Pm -3.069 -4.634 4.528
Dy -5.358 -2.839 6.659
Dy -1.543 -2.318 2.274
Nd 0.734 -4.114 0.155
```


Record 10
The following is a PBE-GGA calculation of crystalline Ac8Sm2Ho3 at its relaxed geometry, from the Alexandria database.

Results
Magnetization ... 0.0 μB per formula unit
Energy of formation from the pure elements ... 223.5 meV/atom
DFT total energy ... -4.087 eV per atom

```
13
Lattice="-3.850 -2.707 -3.901 -6.583 -3.056 8.614 -8.740 4.509 5.493" Properties=species:S:1:pos:R:3 pbc="T T T"
Sm -5.578 -1.008 1.411
Sm -13.595 -0.247 8.795
Ac -10.737 -2.033 7.213
Ac -4.986 0.472 4.589
Ac -7.548 -2.335 4.277
Ac -11.625 1.081 5.928
Ac -8.436 0.779 2.993
Ac -1.948 0.184 1.792
Ac -17.225 -1.439 8.413
Ac -14.187 -1.727 5.617
Ho -8.102 2.270 6.416
Ho -1.925 -1.354 -1.950
Ho -7.222 -0.817 7.690
```


Record 11
The following is a PBE-GGA calculation of crystalline Nd3PdPb3 at its relaxed geometry, from the Alexandria database.

Results
Magnetization ... 0.0 μB per formula unit
Energy of formation from the pure elements ... -606.3 meV/atom
DFT total energy ... -4.981 eV per atom

```
14
Lattice="-3.383 0.877 3.056 -2.245 -5.316 2.566 8.287 0.655 12.513" Properties=species:S:1:pos:R:3 pbc="T T T"
Pd 0.396 0.494 7.349
Pd 2.264 -4.277 10.786
Pb -2.720 -0.190 4.095
Pb 5.380 -3.593 14.040
Pb -0.083 -2.866 11.309
Pb 2.743 -0.917 6.826
Pb -3.187 -3.224 7.975
Pb 5.846 -0.560 10.160
Nd -3.011 -3.299 4.665
Nd 2.601 -0.855 10.178
Nd 0.529 -0.850 4.356
Nd 2.130 -2.934 13.779
Nd 5.670 -0.485 13.470
Nd 0.058 -2.929 7.957
```


Record 12
The following is a PBE-GGA calculation of crystalline SrSiP2 at its relaxed geometry, from the Alexandria database.

Results
Magnetization ... 0.0 μB per formula unit
Formation energy (no corrections) ... 372 meV/atom
DFT total energy ... -4.109 eV per atom

```
4
Lattice="-4.352 -2.281 0.162 -1.033 -3.556 -3.233 -0.270 -4.677 1.492" Properties=species:S:1:pos:R:3 pbc="T T T"
Si -2.828 -5.257 -0.789
P 0.000 0.000 0.000
P -4.242 -7.885 -1.184
Sr -1.414 -2.628 -0.395
```


Q: Number 2 is which compound?
A: ErVOs2


Q: DFT total energy of number 6 (Th2CuOs)?
A: -7.859 eV per atom